VASP calculation (GGA+U) on KSmV2O6 after structural relaxation.

The structure belongs to space group C2/c (No. 15); the cell edges are 10.839, 10.191 and 6.099 Å and the angles 90.00°, 104.89° and 90.00°. The inequivalent atoms are K at (0.000, 0.178, 0.250), Sm at (0.000, 0.398, 0.750), V at (0.213, 0.087, 0.783), O at (0.113, 0.425, 0.129), O at (0.141, 0.240, 0.699) and O at (0.160, 0.018, 0.025).

Its total magnetization is 8.00 μB/cell. Its electronic total energy is -0.5440 Ry/atom. The volume is 651.1 Å³/cell.